# 1
The following is a PBEsol calculation of a relaxed Li2H6Pt crystal, from the Alexandria database.

Properties
uncorrected energy: -34.3 eV/cell
theoretical density: 4.973 g cm⁻³

Cell lengths 4.6652, 4.6652, 4.6652 Å; angles 60.00, 60.00, 60.00 degrees
With the nearest neighbours (Å) after each atom.
Element x y z (fractional)
Li1 0.2500 0.2500 0.2500  12 H 2.33
Li2 0.7500 0.7500 0.7500  12 H 2.33
H1 0.2486 0.2486 0.7514  1 Pt 1.64
H2 0.2486 0.7514 0.2486  1 Pt 1.64
H3 0.2486 0.7514 0.7514  1 Pt 1.64
H4 0.7514 0.2486 0.2486  1 Pt 1.64
H5 0.7514 0.2486 0.7514  1 Pt 1.64
H6 0.7514 0.7514 0.2486  1 Pt 1.64
Pt1 0.0000 0.0000 0.0000  6 H 1.64



# 2
The following is a PBEsol calculation of a relaxed Li2ScHPt crystal, from the Alexandria database.

Properties
uncorrected energy: -20.2 eV/cell
theoretical density: 5.615 g cm⁻³

Cell lengths 4.6923, 4.6923, 3.4239 Å; angles 90.00, 90.00, 90.00 degrees
With the nearest neighbours (Å) after each atom.
Element x y z (fractional)
Li1 0.0000 0.5000 0.0000  2 Pt 2.35
Li2 0.5000 0.0000 0.0000  2 Pt 2.35
Sc1 0.0000 0.0000 0.5000  8 Li 2.90
H1 0.5000 0.5000 0.5000  2 Pt 1.71
Pt1 0.5000 0.5000 0.0000  2 H 1.71



# 3
The following is a PBEsol calculation of a relaxed LiZnH2Pt crystal, from the Alexandria database.

Properties
uncorrected energy: -17.3 eV/cell
theoretical density: 7.243 g cm⁻³

Cell lengths 3.5934, 3.5934, 4.7841 Å; angles 90.00, 90.00, 90.00 degrees
With the nearest neighbours (Å) after each atom.
Element x y z (fractional)
Li1 0.0000 0.0000 0.0000  4 Zn 2.54
Zn1 0.5000 0.5000 0.0000  2 Pt 2.39, 4 Li 2.54
H1 0.0000 0.5000 0.5000  2 Pt 1.80
H2 0.5000 0.0000 0.5000  2 Pt 1.80
Pt1 0.5000 0.5000 0.5000  4 H 1.80



Which value of theoretical density does entry 3 give? 7.243 g cm⁻³



uncorrected energy of number 3 (LiZnH2Pt)? -17.3 eV/cell



Which of these has the lowest uncorrected energy? Li2H6Pt